Entry 1:
A plane-wave DFT calculation with PBE was carried out for crystalline LiTiTcBr2 at its relaxed geometry.

The structure belongs to space group P4/mmm (No. 123); the cell edges are 4.639, 4.639 and 5.178 Å and the angles 90.00°, 90.00° and 90.00°. The distinct sites, in fractional coordinates, are Li at (0.000, 0.000, 0.000), Ti at (0.000, 0.000, 0.500), Tc at (0.500, 0.500, 0.500) and Br at (0.000, 0.500, 0.000).

Its density is 4659 kg/m3. Its uncorrected formation energy is 74 kJ/mol of atoms.



Entry 2:
A plane-wave DFT calculation with PBE was carried out for crystalline Cs3SiAu3 at its relaxed geometry.

The structure belongs to space group Cmcm (No. 63); the cell edges are 10.720, 18.514 and 7.317 Å and the angles 90.00°, 90.00° and 90.00°. The distinct sites, in fractional coordinates, are Cs at (0.000, 0.188, 0.250), Cs at (0.217, 0.406, 0.250), Si at (0.000, 0.333, 0.750), Au at (0.000, 0.204, 0.750) and Au at (0.193, 0.398, 0.750).

Its density is 4655 kg/m3. Its uncorrected formation energy is -5 kJ/mol of atoms.



Entry 3:
A plane-wave DFT calculation with PBE was carried out for crystalline MnTlTe2 at its relaxed geometry.

The structure belongs to space group C2/c (No. 15); the cell edges are 6.902, 12.986 and 6.524 Å and the angles 90.00°, 119.90° and 90.00°. The distinct sites, in fractional coordinates, are Mn at (0.000, 0.009, 0.250), Tl at (0.000, 0.378, 0.750) and Te at (0.201, 0.131, 0.622).

Its density is 6741 kg/m3. Its uncorrected formation energy is -14 kJ/mol of atoms.



Entry 4:
A plane-wave DFT calculation with PBE was carried out for crystalline Li6NdAg12 at its relaxed geometry.

The structure belongs to space group R-3m (No. 166, hexagonal axes); the cell edges are 11.8129, 11.8129 and 8.6704 Å and the angles 90.00°, 90.00° and 120.00°. The distinct sites, in fractional coordinates, are Li at (0.0431, 0.5215, 0.2468), Nd at (0.0000, 0.0000, 0.0000), Ag at (0.0000, 0.3824, 0.5000) and Ag at (0.0833, 0.1667, 0.3113).

Its density is 7038 kg/m3. Its formation energy is -0.053 eV per atom.



Entry 5:
A plane-wave DFT calculation with PBE was carried out for crystalline Al2ReBiO8 at its relaxed geometry.

The structure belongs to space group C2/m (No. 12); the cell edges are 7.072, 6.224 and 6.625 Å and the angles 90.00°, 98.47° and 90.00°. The distinct sites, in fractional coordinates, are Al at (0.045, 0.000, 0.214), Re at (0.000, 0.500, 0.500), Bi at (0.000, 0.500, 0.000), O at (0.008, 0.287, 0.288), O at (0.170, 0.000, 0.992) and O at (0.237, 0.000, 0.441).

Its density is 6646 kg/m3. Its uncorrected formation energy is -190 kJ/mol of atoms.



Entry 6:
A plane-wave DFT calculation with PBE was carried out for crystalline Cr3IrRh4 at its relaxed geometry.

The structure belongs to space group I4/mmm (No. 139); the cell edges are 3.782, 3.782 and 15.000 Å and the angles 90.00°, 90.00° and 90.00°. The distinct sites, in fractional coordinates, are Cr at (0.000, 0.000, 0.000), Cr at (0.000, 0.000, 0.248), Ir at (0.000, 0.000, 0.500) and Rh at (0.000, 0.500, 0.131).

Its density is 11763 kg/m3. Its formation energy is -0.093 eV per atom.



Entry 7:
A plane-wave DFT calculation with PBE was carried out for crystalline InIr2Rh at its relaxed geometry.

The structure belongs to space group Pmm2 (No. 25); the cell edges are 2.851, 4.525 and 4.876 Å and the angles 90.00°, 90.00° and 90.00°. The distinct sites, in fractional coordinates, are In at (0.000, 0.000, 0.000), Ir at (0.000, 0.500, 0.633), Ir at (0.500, 0.000, 0.502) and Rh at (0.500, 0.500, 0.155).

Its density is 15897 kg/m3. Its formation energy is 0.020 eV per atom.



Entry 8:
A plane-wave DFT calculation with PBE was carried out for crystalline TlBiRuN at its relaxed geometry.

The structure belongs to space group P1 (No. 1); the cell edges are 3.274, 4.551 and 6.979 Å and the angles 75.78°, 89.93° and 69.14°. The distinct sites, in fractional coordinates, are Tl at (0.000, 0.000, 0.000), Bi at (0.390, 0.244, 0.398), Ru at (0.170, 0.688, 0.631) and N at (0.726, 0.574, 0.752).

Its density is 9358 kg/m3. Its uncorrected formation energy is 31 kJ/mol of atoms. The calculation puts the energy above the most stable polymorph in this dataset at 84 meV/atom.



Q: Which formula does entry 7 have?
A: InIr2Rh



Q: Number 7 is which compound?
A: InIr2Rh